Compound: Os2Cl
Source: Alexandria
Functional: SCAN
Structure: PBEsol geometry

Results
The calculation puts the polymorph energy (0 for the lowest one) at 0.463 eV per atom. The raw formation energy is 2.6 eV per formula unit.

POSCAR file:
```
Os2Cl
1.0
-1.4118 1.4118 5.6462
1.4118 -1.4118 5.6462
1.4118 1.4118 -5.6462
Os Cl
2 1
Direct
0.1792 0.1792 0.0000
0.8208 0.8208 0.0000
0.5000 0.5000 0.0000
```

=====

Compound: Os2Cl
Source: Alexandria
Functional: SCAN
Structure: PBEsol geometry

Results
The calculation puts the polymorph energy (0 for the lowest one) at 0.536 eV per atom. The raw formation energy is 2.8 eV per formula unit.

POSCAR file:
```
Os2Cl
1.0
3.8870 0.0000 0.0000
-1.9435 3.3662 0.0000
0.0000 0.0000 7.4701
Os Cl
4 2
Direct
0.3333 0.6667 0.0721
0.3333 0.6667 0.4279
0.6667 0.3333 0.5721
0.6667 0.3333 0.9279
0.0000 0.0000 0.2500
0.0000 0.0000 0.7500
```

=====

Compound: OsCl3
Source: Alexandria
Functional: SCAN
Structure: PBEsol geometry

Results
The raw formation energy is 5.2 eV per formula unit.

POSCAR file:
```
OsCl3
1.0
4.2149 2.4335 1.0695
-4.2149 2.4335 1.0695
0.0000 -4.8669 1.0695
Os Cl
1 3
Direct
0.0000 0.0000 0.0000
0.0000 0.5000 0.5000
0.5000 0.0000 0.5000
0.5000 0.5000 0.0000
```

=====

Compound: OsCl5
Source: Alexandria
Functional: SCAN
Structure: PBEsol geometry

Results
The raw formation energy is 2.1 eV per formula unit.

POSCAR file:
```
OsCl5
1.0
1.7618 -5.9779 0.0000
1.7618 5.9779 0.0000
0.0000 0.0000 6.3100
Os Cl
1 5
Direct
0.0000 0.0000 0.0000
0.1682 0.8318 0.5000
0.3743 0.6257 0.0000
0.5000 0.5000 0.5000
0.6257 0.3743 0.0000
0.8318 0.1682 0.5000
```

=====

Compound: Os2Cl
Source: Alexandria
Functional: SCAN
Structure: PBEsol geometry

Results
The calculation puts the polymorph energy (0 for the lowest one) at 1.829 eV per atom. The raw formation energy is 6.7 eV per formula unit.

POSCAR file:
```
Os2Cl
1.0
0.0000 2.8090 2.8090
2.8090 0.0000 2.8090
2.8090 2.8090 0.0000
Os Cl
2 1
Direct
0.2500 0.2500 0.2500
0.7500 0.7500 0.7500
0.0000 0.0000 0.0000
```

=====

Compound: OsCl4
Source: Alexandria
Functional: SCAN
Structure: PBEsol geometry

Results
The raw formation energy is -2.5 eV per formula unit.

POSCAR file:
```
OsCl4
1.0
4.0023 -4.2483 0.0000
4.0023 4.2483 0.0000
0.0000 0.0000 3.5776
Os Cl
1 4
Direct
0.0000 0.0000 0.0000
0.1816 0.8184 0.5000
0.2818 0.2818 0.0000
0.7182 0.7182 0.0000
0.8184 0.1816 0.5000
```

=====

Compound: Os2Cl
Source: Alexandria
Functional: SCAN
Structure: PBEsol geometry

Results
The calculation puts the polymorph energy (0 for the lowest one) at 1.876 eV per atom. The raw formation energy is 6.8 eV per formula unit.

POSCAR file:
```
Os2Cl
1.0
3.9951 0.0000 0.0000
0.0000 3.9951 0.0000
0.0000 0.0000 2.8198
Os Cl
2 1
Direct
0.0000 0.5000 0.0000
0.5000 0.0000 0.0000
0.0000 0.0000 0.5000
```

=====

Compound: Os2Cl
Source: Alexandria
Functional: SCAN
Structure: PBEsol geometry

Results
The calculation puts the polymorph energy (0 for the lowest one) at 0.000 eV per atom. The raw formation energy is 1.2 eV per formula unit.

POSCAR file:
```
Os2Cl
1.0
4.3605 -1.3931 0.0000
4.3605 1.3931 0.0000
-0.4942 0.0000 9.9017
Os Cl
4 2
Direct
0.0929 0.0929 0.1700
0.3690 0.3690 0.0467
0.6310 0.6310 0.9533
0.9071 0.9071 0.8300
0.3751 0.3751 0.6354
0.6249 0.6249 0.3646
```

=====

Compound: Os3Cl4
Source: Alexandria
Functional: SCAN
Structure: PBEsol geometry

Results
The raw formation energy is 11.4 eV per formula unit.

POSCAR file:
```
Os3Cl4
1.0
5.3015 0.0000 0.0000
-2.6508 4.5913 0.0000
0.0000 0.0000 4.7812
Os Cl
3 4
Direct
0.0000 0.5000 0.0000
0.5000 0.0000 0.0000
0.5000 0.5000 0.0000
0.0000 0.0000 0.2513
0.0000 0.0000 0.7487
0.3333 0.6667 0.5000
0.6667 0.3333 0.5000
```

=====

Compound: POsCl2
Source: Alexandria
Functional: SCAN
Structure: PBEsol geometry

Results
The calculation puts the polymorph energy (0 for the lowest one) at 1.244 eV per atom. The raw formation energy is 6.5 eV per formula unit.

POSCAR file:
```
POsCl2
1.0
0.0000 3.0963 3.0963
3.0963 0.0000 3.0963
3.0963 3.0963 0.0000
P Os Cl
1 1 2
Direct
0.0000 0.0000 0.0000
0.5000 0.5000 0.5000
0.2500 0.2500 0.2500
0.7500 0.7500 0.7500
```

=====

Compound: POsCl2
Source: Alexandria
Functional: SCAN
Structure: PBEsol geometry

Results
The calculation puts the polymorph energy (0 for the lowest one) at 0.000 eV per atom. The raw formation energy is 1.5 eV per formula unit.

POSCAR file:
```
POsCl2
1.0
1.5161 -2.8212 0.0000
1.5161 2.8212 0.0000
0.0000 0.0000 8.6801
P Os Cl
1 1 2
Direct
0.0000 0.0000 0.0000
0.5000 0.5000 0.8120
0.0000 0.0000 0.5877
0.5000 0.5000 0.2254
```

=====

Compound: P2OsCl
Source: Alexandria
Functional: SCAN
Structure: PBEsol geometry

Results
The calculation puts the polymorph energy (0 for the lowest one) at 1.017 eV per atom. The raw formation energy is 4.3 eV per formula unit.

POSCAR file:
```
P2OsCl
1.0
2.4019 -4.0321 0.0000
2.4019 4.0321 0.0000
0.0000 0.0000 2.9825
P Os Cl
2 1 1
Direct
0.0000 0.5000 0.0000
0.5000 0.0000 0.0000
0.0000 0.0000 0.5000
0.5000 0.5000 0.5000
```

=====

Compound: P2OsCl
Source: Alexandria
Functional: SCAN
Structure: PBEsol geometry

Results
The calculation puts the polymorph energy (0 for the lowest one) at 0.629 eV per atom. The raw formation energy is 2.7 eV per formula unit.

POSCAR file:
```
P2OsCl
1.0
-2.4217 2.4217 2.4987
2.4217 -2.4217 2.4987
2.4217 2.4217 -2.4987
P Os Cl
2 1 1
Direct
0.0000 0.5000 0.5000
0.5000 0.0000 0.5000
0.0000 0.0000 0.0000
0.5000 0.5000 0.0000
```

=====

Compound: P2OsCl
Source: Alexandria
Functional: SCAN
Structure: PBEsol geometry

Results
The calculation puts the polymorph energy (0 for the lowest one) at 0.000 eV per atom. The raw formation energy is 0.2 eV per formula unit.

POSCAR file:
```
P2OsCl
1.0
2.3620 -4.5574 0.0000
2.3620 4.5574 0.0000
0.0000 0.0000 2.9362
P Os Cl
2 1 1
Direct
0.2044 0.7956 0.0000
0.7956 0.2044 0.0000
0.0000 0.0000 0.5000
0.5000 0.5000 0.5000
```

=====

Compound: POsCl2
Source: Alexandria
Functional: SCAN
Structure: PBEsol geometry

Results
The calculation puts the polymorph energy (0 for the lowest one) at 0.883 eV per atom. The raw formation energy is 5.0 eV per formula unit.

POSCAR file:
```
POsCl2
1.0
2.8471 0.0000 0.0000
0.0000 2.8471 0.0000
0.0000 0.0000 8.5274
P Os Cl
1 1 2
Direct
0.0000 0.0000 0.0000
0.0000 0.0000 0.5000
0.5000 0.5000 0.3112
0.5000 0.5000 0.6888
```

=====

Compound: P2OsCl12
Source: Alexandria
Functional: SCAN
Structure: PBEsol geometry

Results
The raw formation energy is -8.6 eV per formula unit.

POSCAR file:
```
P2OsCl12
1.0
6.2872 0.0000 0.0000
-3.1147 5.8806 0.0000
-0.0065 -3.2721 10.6239
P Os Cl
2 1 12
Direct
0.2281 0.0256 0.2784
0.7719 0.9744 0.7216
0.5000 0.5000 0.0000
0.9999 0.2306 0.6435
0.0001 0.7694 0.3565
0.0754 0.2423 0.3039
0.0857 0.2688 0.9745
0.4539 0.7395 0.8996
0.4794 0.7781 0.5812
0.4875 0.7332 0.1882
0.5125 0.2668 0.8118
0.5206 0.2219 0.4188
0.5461 0.2605 0.1004
0.9143 0.7312 0.0255
0.9246 0.7577 0.6961
```

=====

Compound: P2OsPtCl
Source: Alexandria
Functional: SCAN
Structure: PBEsol geometry

Results
The raw formation energy is 4.9 eV per formula unit.

POSCAR file:
```
P2OsPtCl
1.0
4.4733 0.0000 0.0000
0.0000 4.4733 0.0000
0.0000 0.0000 4.7389
P Os Pt Cl
2 1 1 1
Direct
0.0000 0.5000 0.0000
0.5000 0.0000 0.0000
0.0000 0.0000 0.0000
0.5000 0.5000 0.5000
0.0000 0.0000 0.5000
```

=====

Compound: RbP2OsCl
Source: Alexandria
Functional: SCAN
Structure: PBEsol geometry

Results
The raw formation energy is 12.9 eV per formula unit.

POSCAR file:
```
RbP2OsCl
1.0
5.2767 0.0000 0.0000
0.0000 5.2767 0.0000
0.0000 0.0000 5.2937
Rb P Os Cl
1 2 1 1
Direct
0.0000 0.0000 0.0000
0.0000 0.5000 0.0000
0.5000 0.0000 0.0000
0.5000 0.5000 0.5000
0.0000 0.0000 0.5000
```

=====

Compound: P2OsRhCl
Source: Alexandria
Functional: SCAN
Structure: PBEsol geometry

Results
The raw formation energy is 6.5 eV per formula unit.

POSCAR file:
```
P2OsRhCl
1.0
4.4876 0.0000 0.0000
0.0000 4.4876 0.0000
0.0000 0.0000 4.5234
P Os Rh Cl
2 1 1 1
Direct
0.0000 0.5000 0.0000
0.5000 0.0000 0.0000
0.0000 0.0000 0.5000
0.5000 0.5000 0.0000
0.5000 0.5000 0.5000
```

=====

Compound: POsSCl2
Source: Alexandria
Functional: SCAN
Structure: PBEsol geometry

Results
The raw formation energy is 3.7 eV per formula unit.

POSCAR file:
```
POsSCl2
1.0
4.7705 0.0000 0.0000
0.0000 4.7705 0.0000
0.0000 0.0000 4.4424
P Os S Cl
1 1 1 2
Direct
0.0000 0.0000 0.0000
0.5000 0.5000 0.5000
0.5000 0.5000 0.0000
0.0000 0.5000 0.5000
0.5000 0.0000 0.5000
```

=====

Compound: ScP2OsCl
Source: Alexandria
Functional: SCAN
Structure: PBEsol geometry

Results
The raw formation energy is 5.0 eV per formula unit.

POSCAR file:
```
ScP2OsCl
1.0
4.9059 0.0000 0.0000
0.0000 4.9059 0.0000
0.0000 0.0000 4.5341
Sc P Os Cl
1 2 1 1
Direct
0.0000 0.0000 0.0000
0.0000 0.5000 0.0000
0.5000 0.0000 0.0000
0.5000 0.5000 0.5000
0.0000 0.0000 0.5000
```

=====

Compound: ScPOsCl2
Source: Alexandria
Functional: SCAN
Structure: PBEsol geometry

Results
The raw formation energy is 1.5 eV per formula unit.

POSCAR file:
```
ScPOsCl2
1.0
4.6091 0.0000 0.0000
0.0000 4.6091 0.0000
0.0000 0.0000 5.3880
Sc P Os Cl
1 1 1 2
Direct
0.0000 0.0000 0.0000
0.0000 0.0000 0.5000
0.5000 0.5000 0.5000
0.0000 0.5000 0.0000
0.5000 0.0000 0.0000
```

=====

Compound: SnPOsCl2
Source: Alexandria
Functional: SCAN
Structure: PBEsol geometry

Results
The raw formation energy is 6.4 eV per formula unit.

POSCAR file:
```
SnPOsCl2
1.0
4.9169 0.0000 0.0000
0.0000 4.9169 0.0000
0.0000 0.0000 5.2071
Sn P Os Cl
1 1 1 2
Direct
0.0000 0.0000 0.0000
0.0000 0.0000 0.5000
0.5000 0.5000 0.5000
0.0000 0.5000 0.0000
0.5000 0.0000 0.0000
```

=====

Compound: SrP2OsCl
Source: Alexandria
Functional: SCAN
Structure: PBEsol geometry

Results
The raw formation energy is 11.1 eV per formula unit.

POSCAR file:
```
SrP2OsCl
1.0
5.3687 0.0000 0.0000
0.0000 5.3687 0.0000
0.0000 0.0000 5.5286
Sr P Os Cl
1 2 1 1
Direct
0.0000 0.0000 0.0000
0.0000 0.5000 0.0000
0.5000 0.0000 0.0000
0.0000 0.0000 0.5000
0.5000 0.5000 0.5000
```

=====

Compound: TeP2OsCl
Source: Alexandria
Functional: SCAN
Structure: PBEsol geometry

Results
The raw formation energy is 10.2 eV per formula unit.

POSCAR file:
```
TeP2OsCl
1.0
5.0174 0.0000 0.0000
0.0000 5.0174 0.0000
0.0000 0.0000 4.8439
Te P Os Cl
1 2 1 1
Direct
0.0000 0.0000 0.0000
0.0000 0.5000 0.0000
0.5000 0.0000 0.0000
0.5000 0.5000 0.5000
0.0000 0.0000 0.5000
```

=====

Compound: OsPb2Cl
Source: Alexandria
Functional: SCAN
Structure: PBEsol geometry

Results
The raw formation energy is 2.8 eV per formula unit.

POSCAR file:
```
OsPb2Cl
1.0
3.1546 0.0000 0.0000
0.0000 3.1546 0.0000
0.0000 0.0000 8.7950
Os Pb Cl
1 2 1
Direct
0.0000 0.0000 0.0000
0.0000 0.0000 0.5357
0.5000 0.5000 0.2052
0.5000 0.5000 0.8221
```

=====

Compound: Os2PbCl
Source: Alexandria
Functional: SCAN
Structure: PBEsol geometry

Results
The raw formation energy is 6.6 eV per formula unit.

POSCAR file:
```
Os2PbCl
1.0
3.1627 0.0000 0.0000
0.0000 3.1627 0.0000
0.0000 0.0000 6.4728
Os Pb Cl
2 1 1
Direct
0.0000 0.0000 0.2196
0.0000 0.0000 0.7804
0.5000 0.5000 0.5000
0.5000 0.5000 0.0000
```

=====

Compound: OsPtCl2
Source: Alexandria
Functional: SCAN
Structure: PBEsol geometry

Results
The calculation puts the polymorph energy (0 for the lowest one) at 0.337 eV per atom. The raw formation energy is 3.5 eV per formula unit.

POSCAR file:
```
OsPtCl2
1.0
1.4397 0.8312 8.7471
-1.4397 0.8312 8.7471
0.0000 -1.6624 8.7471
Os Pt Cl
1 1 2
Direct
0.0000 0.0000 0.0000
0.5000 0.5000 0.5000
0.4085 0.4085 0.4085
0.5915 0.5915 0.5915
```

=====

Compound: OsPtCl2
Source: Alexandria
Functional: SCAN
Structure: PBEsol geometry

Results
The calculation puts the polymorph energy (0 for the lowest one) at 0.855 eV per atom. The raw formation energy is 5.5 eV per formula unit.

POSCAR file:
```
OsPtCl2
1.0
2.8769 0.0000 0.0000
0.0000 2.8769 0.0000
0.0000 0.0000 7.4892
Os Pt Cl
1 1 2
Direct
0.0000 0.0000 0.0000
0.0000 0.0000 0.5000
0.5000 0.5000 0.2155
0.5000 0.5000 0.7845
```